Here is crystalline Mg2Ga8Ag3 at its relaxed geometry from Alexandria. Energies are from PBE.

The space group is C2/m (No. 12) and the conventional cell measures 12.3807, 7.5742 and 5.4744 Å, with angles of 90.00, 95.86 and 90.00 degrees. Symmetry generates all atoms from Mg at (0.1237, 0.0000, 0.1852), Ga at (0.0976, 0.0000, 0.6807), Ga at (0.1724, 0.3162, 0.8526), Ga at (0.1858, 0.5000, 0.3756), Ag at (0.0000, 0.3076, 0.5000) and Ag at (0.0000, 0.5000, 0.0000).

The calculation puts the energy of formation at 0.006 eV per atom. The value obtained for the density of states at the Fermi level is 7.74 states/eV/cell. Its size of the total moment is 0.0 μB/f.u. The total energy is -2.76 eV/atom.